Density functional theory data (meta-GGA SCAN) for LiMnP2 at its PBEsol-relaxed geometry.

extended XYZ file:
```
4
Lattice="3.828 0.000 0.000 0.000 3.828 0.000 0.000 0.000 3.408" Properties=species:S:1:pos:R:3 pbc="T T T"
Li 0.000 0.000 0.000
Mn 1.914 1.914 0.000
P 0.000 1.914 1.704
P 1.914 0.000 1.704
```

Output
calculated total energy: -10.575 eV/atom
E_form: -0.215 eV/atom
space-group type: P4/mmm, No. 123

Density functional theory data (meta-GGA SCAN) for LiMn2P at its PBEsol-relaxed geometry.

extended XYZ file:
```
4
Lattice="2.734 0.000 0.000 0.000 2.734 0.000 0.000 0.000 6.689" Properties=species:S:1:pos:R:3 pbc="T T T"
Li 0.000 0.000 0.000
Mn 0.000 0.000 3.767
Mn 1.367 1.367 2.191
P 1.367 1.367 4.975
```

Output
calculated total energy: -12.521 eV/atom
E_form: -0.197 eV/atom
space-group type: P4mm, No. 99

Density functional theory data (meta-GGA SCAN) for Li2MnP at its PBEsol-relaxed geometry.

extended XYZ file:
```
4
Lattice="2.731 0.000 0.000 0.000 4.246 0.000 -1.064 0.000 4.250" Properties=species:S:1:pos:R:3 pbc="T T T"
Li 0.195 0.000 1.125
Li 1.471 0.000 3.125
Mn 1.365 2.123 0.000
P -0.532 2.123 2.125
```

Output
calculated total energy: -8.590 eV/atom
E_form: -0.231 eV/atom
space-group type: P2/m, No. 10

Density functional theory data (meta-GGA SCAN) for LiMnPb2 at its PBEsol-relaxed geometry.

extended XYZ file:
```
4
Lattice="3.432 0.000 0.000 0.000 3.432 0.000 0.000 0.000 7.226" Properties=species:S:1:pos:R:3 pbc="T T T"
Li 0.000 0.000 0.000
Mn 0.000 0.000 3.613
Pb 1.716 1.716 1.892
Pb 1.716 1.716 5.334
```

Output
calculated total energy: -43.187 eV/atom
E_form: -0.135 eV/atom
space-group type: P4/mmm, No. 123

Density functional theory data (meta-GGA SCAN) for LiMnPb2 at its PBEsol-relaxed geometry.

extended XYZ file:
```
4
Lattice="3.500 -3.510 0.000 3.500 3.510 0.000 0.000 0.000 3.446" Properties=species:S:1:pos:R:3 pbc="T T T"
Li 0.000 0.000 0.000
Mn 3.500 0.000 0.000
Pb 1.750 1.755 1.723
Pb 1.750 -1.755 1.723
```

Output
calculated total energy: -43.193 eV/atom
E_form: -0.141 eV/atom
space-group type: Cmmm, No. 65

Density functional theory data (meta-GGA SCAN) for LiMnPb3 at its PBEsol-relaxed geometry.

extended XYZ file:
```
5
Lattice="5.187 0.000 0.000 0.000 5.187 0.000 0.000 0.000 5.187" Properties=species:S:1:pos:R:3 pbc="T T T"
Li 0.000 0.000 0.000
Mn 2.593 2.593 2.593
Pb 0.000 2.593 2.593
Pb 2.593 0.000 2.593
Pb 2.593 2.593 0.000
```

Output
calculated total energy: -49.503 eV/atom
E_form: 0.094 eV/atom
space-group type: Pm-3m, No. 221